Density functional theory data (GGA-PBE) for a geometry-optimized Sr3PbN structure.

extended XYZ file:
```
10
Lattice="4.746 0.000 0.000 -2.373 4.110 0.000 0.000 0.000 17.803" Properties=species:S:1:pos:R:3 pbc="T T T"
Sr 0.000 0.000 4.451
Sr 0.000 0.000 13.352
Sr 0.000 2.740 1.949
Sr 0.000 2.740 6.952
Sr 2.373 1.370 10.850
Sr 2.373 1.370 15.854
Pb 0.000 0.000 0.000
Pb 0.000 0.000 8.901
N 0.000 2.740 4.451
N 2.373 1.370 13.352
```

Summary:
- Calculated total energy: -0.1386 Ha/atom
- Space group: No. 194


Density functional theory data (GGA-PBE) for a geometry-optimized InSiAg structure.

extended XYZ file:
```
6
Lattice="3.014 0.000 0.000 0.011 5.790 0.000 1.507 1.278 7.114" Properties=species:S:1:pos:R:3 pbc="T T T"
In 0.000 0.000 0.000
In 1.513 2.895 0.000
Si 1.507 1.354 4.231
Si 3.025 5.714 2.883
Ag 1.512 4.176 4.613
Ag 3.020 2.892 2.500
```

Summary:
- Calculated total energy: -0.1261 Ha/atom
- Space group: No. 2


Density functional theory data (GGA-PBE) for a geometry-optimized LiTiIn structure.

extended XYZ file:
```
6
Lattice="3.030 0.000 0.000 0.000 3.030 0.000 0.000 0.000 11.918" Properties=species:S:1:pos:R:3 pbc="T T T"
Li 0.000 0.000 0.000
Li 1.515 1.515 5.959
Ti 0.000 0.000 3.920
Ti 1.515 1.515 9.879
In 0.000 0.000 7.801
In 1.515 1.515 1.842
```

Summary:
- Space group: No. 107
- Formation energy from the elements: 28 meV per atom
- Excess energy over the best structure of this formula in the dataset: 202 meV/atom